(1)
## Rb2VPd (PBE)

Data for Rb2VPd after structural relaxation.

## Properties
Its energy above the most stable polymorph in this dataset is 0.0 meV per atom. The value obtained for the theoretical density is 2.7 Mg/m³.

a = 12.8457 Å, b = 12.8457 Å, c = 9.4079 Å
α = 46.94°, β = 46.94°, γ = 90.00°
Site moments in Bohr magnetons follow the coordinates.
Element x y z (fractional)
V 0.2500 0.7500 0.5000  2.86
Rb 0.9488 0.6250 0.2500  0.03
Rb 0.8012 0.1250 0.2500  0.03
Rb 0.3750 0.1988 0.7500  0.03
Pd 0.0000 0.0000 0.0000  -0.06
Rb 0.8750 0.0512 0.7500  0.03
Pd 0.7500 0.2500 0.5000  -0.06
V 0.5000 0.5000 0.0000  2.86

(2)
## RbV3Pd (PBE)

Data for RbV3Pd after structural relaxation.

## Properties
Its energy above the most stable polymorph in this dataset is 1227.6 meV per atom. The value obtained for the theoretical density is 6.4 Mg/m³.

a = 4.4757 Å, b = 4.4757 Å, c = 4.4757 Å
α = 90.00°, β = 90.00°, γ = 90.00°
Site moments in Bohr magnetons follow the coordinates.
Element x y z (fractional)
V 0.0000 0.0000 0.5000  0.56
Rb 0.0000 0.0000 0.0000  0.00
Pd 0.5000 0.5000 0.5000  0.17
V 0.5000 0.0000 0.0000  0.56
V 0.0000 0.5000 0.0000  0.56

(3)
## RbV3Pd (PBE)

Data for RbV3Pd after structural relaxation.

## Properties
Its energy above the most stable polymorph in this dataset is 0.0 meV per atom. The value obtained for the theoretical density is 4.5 Mg/m³.

a = 5.0327 Å, b = 5.0327 Å, c = 5.0327 Å
α = 90.00°, β = 90.00°, γ = 90.00°
Site moments in Bohr magnetons follow the coordinates.
Element x y z (fractional)
V 0.0000 0.0000 0.5000  2.38
Pd 0.0000 0.0000 0.0000  -0.07
Rb 0.5000 0.5000 0.5000  0.06
V 0.5000 0.0000 0.0000  2.38
V 0.0000 0.5000 0.0000  2.38

(4)
## RbVPd3 (PBE)

Data for RbVPd3 after structural relaxation.

## Properties
The value obtained for the theoretical density is 6.6 Mg/m³.

a = 4.8604 Å, b = 4.8604 Å, c = 4.8604 Å
α = 90.00°, β = 90.00°, γ = 90.00°
Site moments in Bohr magnetons follow the coordinates.
Element x y z (fractional)
Pd 0.0000 0.0000 0.5000  0.06
Rb 0.5000 0.5000 0.5000  0.00
Pd 0.0000 0.5000 0.0000  0.06
Pd 0.5000 0.0000 0.0000  0.06
V 0.0000 0.0000 0.0000  1.51

(5)
## RbVPd2 (PBE)

Data for RbVPd2 after structural relaxation.

## Properties
Its energy above the most stable polymorph in this dataset is 0.0 meV per atom. The value obtained for the theoretical density is 6.9 Mg/m³.

a = 3.1415 Å, b = 3.1415 Å, c = 9.9316 Å
α = 80.90°, β = 80.90°, γ = 60.00°
Site moments in Bohr magnetons follow the coordinates.
Element x y z (fractional)
Pd 0.1051 0.1051 0.6846  0.04
Pd 0.8949 0.8949 0.3154  0.04
V 0.5000 0.5000 0.5000  0.64
Rb 0.0000 0.0000 0.0000  0.01

(6)
## RbPd3W (PBE)

Data for RbPd3W after structural relaxation.

## Properties
Its energy above the most stable polymorph in this dataset is 0.0 meV per atom. The value obtained for the theoretical density is 7.9 Mg/m³.

a = 4.9900 Å, b = 4.9900 Å, c = 4.9900 Å
α = 90.00°, β = 90.00°, γ = 90.00°
Element x y z (fractional)
W 0.0000 0.0000 0.0000
Pd 0.5000 0.0000 0.0000
Rb 0.5000 0.5000 0.5000
Pd 0.0000 0.5000 0.0000
Pd 0.0000 0.0000 0.5000

(7)
## Rb2PdW (PBE)

Data for Rb2PdW after structural relaxation.

## Properties
Its energy above the most stable polymorph in this dataset is 480.1 meV per atom. The value obtained for the theoretical density is 5.5 Mg/m³.

a = 5.8336 Å, b = 5.8336 Å, c = 5.8336 Å
α = 60.00°, β = 60.00°, γ = 60.00°
Site moments in Bohr magnetons follow the coordinates.
Element x y z (fractional)
Pd 0.0000 0.0000 0.0000  -0.01
W 0.5000 0.5000 0.5000  3.31
Rb 0.7500 0.7500 0.7500  0.02
Rb 0.2500 0.2500 0.2500  0.02

(8)
## Rb2PdW (PBE)

Data for Rb2PdW after structural relaxation.

## Properties
Its energy above the most stable polymorph in this dataset is 0.0 meV per atom. The value obtained for the theoretical density is 3.7 Mg/m³.

a = 12.8907 Å, b = 12.8907 Å, c = 9.4426 Å
α = 46.95°, β = 46.95°, γ = 90.00°
Site moments in Bohr magnetons follow the coordinates.
Element x y z (fractional)
Pd 0.5000 0.5000 0.0000  0.10
Rb 0.3001 0.6250 0.2500  0.02
W 0.0000 0.0000 0.0000  2.62
Pd 0.2500 0.7500 0.5000  0.10
Rb 0.4499 0.1250 0.2500  0.02
Rb 0.3750 0.5501 0.7500  0.02
W 0.7500 0.2500 0.5000  2.62
Rb 0.8750 0.6999 0.7500  0.02

(9)
## Rb3PdW (PBE)

Data for Rb3PdW after structural relaxation.

## Properties
Its energy above the most stable polymorph in this dataset is 0.0 meV per atom. The value obtained for the theoretical density is 3.5 Mg/m³.

a = 6.4038 Å, b = 6.4038 Å, c = 6.4038 Å
α = 90.00°, β = 90.00°, γ = 90.00°
Site moments in Bohr magnetons follow the coordinates.
Element x y z (fractional)
Pd 0.0000 0.0000 0.0000  -0.01
Rb 0.5000 0.0000 0.0000  0.00
Rb 0.0000 0.5000 0.0000  0.00
W 0.5000 0.5000 0.5000  3.46
Rb 0.0000 0.0000 0.5000  0.01

(10)
## RbPd3W (PBE)

Data for RbPd3W after structural relaxation.

## Properties
Its energy above the most stable polymorph in this dataset is 1766.2 meV per atom. The value obtained for the theoretical density is 8.3 Mg/m³.

a = 4.9111 Å, b = 4.9111 Å, c = 4.9111 Å
α = 90.00°, β = 90.00°, γ = 90.00°
Element x y z (fractional)
Pd 0.0000 0.0000 0.5000
Rb 0.0000 0.0000 0.0000
Pd 0.5000 0.0000 0.0000
W 0.5000 0.5000 0.5000
Pd 0.0000 0.5000 0.0000

(11)
## RbZrPdW2 (PBE)

Data for RbZrPdW2 after structural relaxation.

## Properties
The value obtained for the theoretical density is 9.8 Mg/m³.

a = 4.8177 Å, b = 4.7509 Å, c = 4.8177 Å
α = 90.00°, β = 90.00°, γ = 90.00°
Element x y z (fractional)
W 0.0000 0.0000 0.5000
Zr 0.5000 0.5000 0.5000
Pd 0.0000 0.5000 0.0000
W 0.5000 0.0000 0.0000
Rb 0.0000 0.0000 0.0000

(12)
## RbZrPd2W (PBE)

Data for RbZrPd2W after structural relaxation.

## Properties
The value obtained for the theoretical density is 7.6 Mg/m³.

a = 4.9003 Å, b = 5.2300 Å, c = 4.9003 Å
α = 90.00°, β = 90.00°, γ = 90.00°
Site moments in Bohr magnetons follow the coordinates.
Element x y z (fractional)
Rb 0.0000 0.5000 0.0000  0.02
Pd 0.0000 0.0000 0.5000  -0.01
Pd 0.5000 0.0000 0.0000  -0.03
W 0.0000 0.0000 0.0000  -0.20
Zr 0.5000 0.5000 0.5000  0.84

(13)
## Rb2YPd (PBE)

Data for Rb2YPd after structural relaxation.

## Properties
Its energy above the most stable polymorph in this dataset is 501.0 meV per atom. The value obtained for the theoretical density is 4.0 Mg/m³.

a = 6.0054 Å, b = 6.0054 Å, c = 6.0054 Å
α = 60.00°, β = 60.00°, γ = 60.00°
Site moments in Bohr magnetons follow the coordinates.
Element x y z (fractional)
Rb 0.7500 0.7500 0.7500  0.02
Y 0.0000 0.0000 0.0000  0.48
Pd 0.5000 0.5000 0.5000  -0.03
Rb 0.2500 0.2500 0.2500  0.02

(14)
## Rb2YPd (PBE)

Data for Rb2YPd after structural relaxation.

## Properties
Its energy above the most stable polymorph in this dataset is 0.0 meV per atom. The value obtained for the theoretical density is 2.7 Mg/m³.

a = 12.9655 Å, b = 12.9655 Å, c = 9.5400 Å
α = 47.19°, β = 47.19°, γ = 90.00°
Element x y z (fractional)
Y 0.2500 0.7500 0.5000
Rb 0.9799 0.6250 0.2500
Rb 0.7701 0.1250 0.2500
Pd 0.0000 0.0000 0.0000
Rb 0.3750 0.2299 0.7500
Y 0.5000 0.5000 0.0000
Rb 0.8750 0.0201 0.7500
Pd 0.7500 0.2500 0.5000

(15)
## RbY3Pd (PBE)

Data for RbY3Pd after structural relaxation.

## Properties
Its energy above the most stable polymorph in this dataset is 0.0 meV per atom. The value obtained for the theoretical density is 4.2 Mg/m³.

a = 5.6492 Å, b = 5.6492 Å, c = 5.6492 Å
α = 90.00°, β = 90.00°, γ = 90.00°
Element x y z (fractional)
Pd 0.0000 0.0000 0.0000
Rb 0.5000 0.5000 0.5000
Y 0.0000 0.5000 0.0000
Y 0.0000 0.0000 0.5000
Y 0.5000 0.0000 0.0000

(16)
## RbY3Pd (PBE)

Data for RbY3Pd after structural relaxation.

## Properties
Its energy above the most stable polymorph in this dataset is 1405.9 meV per atom. The value obtained for the theoretical density is 5.1 Mg/m³.

a = 5.3154 Å, b = 5.3154 Å, c = 5.3154 Å
α = 90.00°, β = 90.00°, γ = 90.00°
Element x y z (fractional)
Rb 0.0000 0.0000 0.0000
Y 0.5000 0.0000 0.0000
Pd 0.5000 0.5000 0.5000
Y 0.0000 0.0000 0.5000
Y 0.0000 0.5000 0.0000

(17)
## RbZnPd (PBE)

Data for RbZnPd after structural relaxation.

## Properties
The value obtained for the theoretical density is 4.6 Mg/m³.

a = 4.6155 Å, b = 6.5503 Å, c = 6.9230 Å
α = 107.27°, β = 109.47°, γ = 90.00°
Element x y z (fractional)
Rb 0.1071 0.3062 0.2143
Pd 0.7987 0.1184 0.5974
Zn 0.6299 0.7850 0.2598
Zn 0.3701 0.2150 0.7402
Pd 0.2013 0.8816 0.4026
Rb 0.8929 0.6938 0.7857

(18)
## RbZn2Pd2 (PBE)

Data for RbZn2Pd2 after structural relaxation.

## Properties
Its energy above the most stable polymorph in this dataset is 1.9 meV per atom. The value obtained for the theoretical density is 7.5 Mg/m³.

a = 8.0403 Å, b = 8.0403 Å, c = 2.9250 Å
α = 90.00°, β = 90.00°, γ = 90.00°
Element x y z (fractional)
Pd 0.8636 0.6364 0.0000
Zn 0.1490 0.6490 0.5000
Zn 0.8510 0.3510 0.5000
Rb 0.0000 0.0000 0.0000
Zn 0.6490 0.8510 0.5000
Zn 0.3510 0.1490 0.5000
Pd 0.6364 0.1364 0.0000
Pd 0.3636 0.8636 0.0000
Rb 0.5000 0.5000 0.0000
Pd 0.1364 0.3636 0.0000

(19)
## Rb2ZnPd (PBE)

Data for Rb2ZnPd after structural relaxation.

## Properties
The value obtained for the theoretical density is 2.8 Mg/m³.

a = 6.4084 Å, b = 6.4084 Å, c = 10.9286 Å
α = 72.95°, β = 72.95°, γ = 90.00°
Element x y z (fractional)
Zn 0.5000 0.5000 0.0000
Pd 0.0000 0.0000 0.0000
Rb 0.8750 0.9254 0.7500
Rb 0.6754 0.1250 0.2500
Zn 0.2500 0.7500 0.5000
Rb 0.3750 0.3246 0.7500
Rb 0.0746 0.6250 0.2500
Pd 0.7500 0.2500 0.5000

(20)
## Rb4ZnPd2 (PBE)

Data for Rb4ZnPd2 after structural relaxation.

## Properties
The value obtained for the theoretical density is 2.9 Mg/m³.

a = 6.6308 Å, b = 6.6308 Å, c = 9.2379 Å
α = 68.97°, β = 68.97°, γ = 90.00°
Element x y z (fractional)
Pd 0.4174 0.4174 0.1651
Zn 0.0000 0.0000 0.0000
Rb 0.5000 0.0000 0.0000
Rb 0.2258 0.2258 0.5484
Rb 0.7742 0.7742 0.4516
Pd 0.5826 0.5826 0.8349
Rb 0.0000 0.5000 0.0000

Number 1: formation energy 2.7 eV per formula unit. Number 2: formation energy 12.6 eV per formula unit. Number 3: formation energy 6.5 eV per formula unit. Number 4: formation energy 2.4 eV per formula unit. Number 5: formation energy 1.7 eV per formula unit. Number 6: formation energy 4.1 eV per formula unit. Number 7: formation energy 7.1 eV per formula unit. Number 8: formation energy 5.1 eV per formula unit. Number 9: formation energy 6.8 eV per formula unit. Number 10: formation energy 12.9 eV per formula unit. Number 11: formation energy 15.0 eV per formula unit. Number 12: formation energy 8.3 eV per formula unit. Number 13: formation energy 3.3 eV per formula unit. Number 14: formation energy 1.3 eV per formula unit. Number 15: formation energy 0.1 eV per formula unit. Number 16: formation energy 7.1 eV per formula unit. Number 17: formation energy -0.3 eV per formula unit. Number 18: formation energy -0.9 eV per formula unit. Number 19: formation energy 1.9 eV per formula unit. Number 20: formation energy 2.2 eV per formula unit.